Computed, not measured: a geometry-optimized Y3MgIn structure at the GGA-PBE level of DFT.

Summary:
mass density	4.77	Mg/m³
ΔE to the lowest computed polymorph	0	meV per atom
calculated formation energy	-0.2694	eV per atom

Cell: 5.1880 20.9936 5.1842 Å, 90.00 90.00 90.00°
Last column: nearest neighbours and their distance in Å.
Space group Cmcm (No. 63)
One atom of each set of equivalent atoms:
Y (0.0000, 0.0583, 0.2500) [4 per cell]  2 Mg 3.28, 2 In 3.33, 8 Y 3.56-3.67
Y (0.0000, 0.2496, 0.2500) [4 per cell]  4 In 3.24-3.25, 4 Mg 3.28-3.29
Y (0.0000, 0.4393, 0.2500) [4 per cell]  2 Mg 3.25, 2 In 3.29, 4 Y 3.60-3.63
Mg (0.0000, 0.1542, 0.7500) [4 per cell]  8 Y 3.25-3.29
In (0.0000, 0.3426, 0.7500) [4 per cell]  8 Y 3.24-3.33